No. 1
# CuIrPb

An optimized crystal structure of CuIrPb (PBE-GGA, Alexandria via LeMat-Bulk).

a b c (Å): 3.135 3.135 6.384
angles (deg): 90.00 90.00 120.00
Fractional positions:
Cu 0.000 0.000 0.000
Ir 0.667 0.333 0.292
Pb 0.333 0.667 0.644

The value obtained for the magnetic moment is 0.000 μB per atom. Its symmetry is No. 156. The polymorph energy (0 for the lowest one) is 218 meV/atom. The calculation puts the energy relative to the elements at 1.693 eV per formula unit. The density of states at the Fermi level is 2.57 states/eV/f.u. As for the crystal system: trigonal.

=====

No. 2
# ScMoRh2

An optimized crystal structure of ScMoRh2 (PBE-GGA, Alexandria via LeMat-Bulk).

a b c (Å): 4.723 4.723 2.903
angles (deg): 90.00 90.00 103.39
Fractional positions:
Sc 0.000 0.000 0.000
Mo 0.500 0.500 0.000
Rh 0.000 0.500 0.500
Rh 0.500 0.000 0.500

The value obtained for the magnetic moment is 0.000 μB per atom. Its symmetry is No. 65. The calculation puts the energy relative to the elements at -1.611 eV per formula unit. The density of states at the Fermi level is 4.30 states/eV/f.u. As for the crystal system: orthorhombic.

=====

No. 3
# Sm8Y2Th

An optimized crystal structure of Sm8Y2Th (PBE-GGA, Alexandria via LeMat-Bulk).

a b c (Å): 9.564 9.564 8.091
angles (deg): 104.75 104.75 31.01
Fractional positions:
Sm 0.045 0.045 0.233
Sm 0.135 0.135 0.680
Sm 0.320 0.320 0.591
Sm 0.410 0.410 0.048
Sm 0.590 0.590 0.952
Sm 0.680 0.680 0.409
Sm 0.865 0.865 0.320
Sm 0.955 0.955 0.767
Y 0.228 0.228 0.136
Y 0.772 0.772 0.864
Th 0.500 0.500 0.500

The value obtained for the magnetic moment is 0.000 μB per atom. Its symmetry is No. 12. The polymorph energy (0 for the lowest one) is 0 meV/atom. The calculation puts the energy relative to the elements at 0.315 eV per formula unit. The density of states at the Fermi level is 16.24 states/eV/f.u. As for the crystal system: monoclinic.

=====

No. 4
# Ta2RuSe

An optimized crystal structure of Ta2RuSe (PBE-GGA, Alexandria via LeMat-Bulk).

a b c (Å): 5.252 5.252 4.576
angles (deg): 115.75 115.75 35.92
Fractional positions:
Ta 0.246 0.246 0.246
Ta 0.754 0.754 0.754
Ru 0.000 0.000 0.500
Se 0.500 0.500 0.000

The value obtained for the uncorrected formation energy is 16 meV/atom. The value obtained for the magnetic moment is 0.000 μB per atom. Its symmetry is No. 12. The density of states at the Fermi level is 3.36 states/eV/f.u. As for the crystal system: monoclinic.

=====

No. 5
# CdWCl2

An optimized crystal structure of CdWCl2 (PBE-GGA, Alexandria via LeMat-Bulk).

a b c (Å): 4.702 4.702 4.702
angles (deg): 60.00 60.00 60.00
Fractional positions:
Cd 0.000 0.000 0.000
W 0.500 0.500 0.500
Cl 0.250 0.250 0.250
Cl 0.750 0.750 0.750

The value obtained for the uncorrected formation energy is 976 meV/atom. The value obtained for the magnetic moment is 0.234 μB per atom. Its symmetry is No. 225. The polymorph energy (0 for the lowest one) is 1048 meV/atom. The density of states at the Fermi level is 2.91 states/eV/f.u. As for the crystal system: cubic.

=====

No. 6
# CaV2TcGe

An optimized crystal structure of CaV2TcGe (PBE-GGA, Alexandria via LeMat-Bulk).

a b c (Å): 4.603 4.603 5.402
angles (deg): 90.00 90.00 90.00
Fractional positions:
Ca 0.000 0.000 0.000
V 0.000 0.500 0.500
V 0.500 0.000 0.500
Tc 0.000 0.000 0.500
Ge 0.500 0.500 0.000

The value obtained for the magnetic moment is 0.621 μB per atom. Its symmetry is No. 123. The calculation puts the energy relative to the elements at 4.551 eV per formula unit. The density of states at the Fermi level is 5.19 states/eV/f.u. As for the crystal system: tetragonal.